(1)
Here is a relaxed structure of BeCd2Ag from Alexandria via LeMat-Bulk. Energies are from PBE.

Summary:
For the calculated formation energy, the calculation gives 6.277 kcal/mol of atoms. The calculation puts the total energy at -7.3 eV for the cell shown.

abc: 4.2573 4.2573 3.8397
angles: 90.00 90.00 90.00
Last column: nearest neighbours and their distance in Å.
Element x y z (fractional)
Be1 0.0000 0.0000 0.0000  8 Cd 2.87, 4 Ag 3.01
Cd1 0.0000 0.5000 0.5000  4 Be 2.87, 4 Ag 2.87, 4 Cd 3.01
Cd2 0.5000 0.0000 0.5000  4 Be 2.87, 4 Ag 2.87, 4 Cd 3.01
Ag1 0.5000 0.5000 0.0000  8 Cd 2.87, 4 Be 3.01


(2)
Here is a relaxed structure of CePu5Au2 from Alexandria via LeMat-Bulk. Energies are from PBE.

Summary:
For the calculated formation energy, the calculation gives -2.681 kcal/mol of atoms. The calculation puts the total energy at -85.1 eV for the cell shown.

abc: 6.5845 6.1518 6.4841
angles: 62.75 56.16 61.10
Last column: nearest neighbours and their distance in Å.
Element x y z (fractional)
Ce1 0.0000 0.0000 0.0000  4 Pu 2.98-3.01, 4 Au 3.30
Pu1 0.0608 0.5531 0.4469  3 Pu 2.91-3.07, 4 Au 3.00-3.16, 1 Ce 3.01
Pu2 0.1580 0.5357 0.8420  3 Pu 2.77-2.91, 1 Ce 2.98
Pu3 0.5357 0.1580 0.4643  3 Pu 2.77-2.91, 1 Ce 2.98
Pu4 0.5531 0.0608 0.9392  3 Pu 2.91-3.07, 4 Au 3.00-3.16, 1 Ce 3.01
Pu5 0.6017 0.6017 0.3983  4 Pu 2.77-3.07
Au1 0.0692 0.0692 0.4308  8 Pu 3.00-3.25, 2 Ce 3.30
Au2 0.5692 0.5692 0.9308  8 Pu 3.00-3.25, 2 Ce 3.30